Record 1
## SbTeBr2 (PBE)

Data for an optimized crystal structure of SbTeBr2.

```
4
Lattice="6.065 0.000 0.000 0.000 4.207 0.000 -2.918 0.000 5.357" Properties=species:S:1:pos:R:3 pbc="T T T"
Sb 0.000 0.000 0.000
Te 0.015 2.104 2.060
Br -0.337 0.000 4.963
Br 3.018 2.104 2.624
```

- Magnetic moment: 0.0 Bohr magnetons per cell
- Excess energy over the best structure of this formula in the dataset: 41 meV/atom
- Raw formation energy: -253 meV/atom
- DOS at the Fermi energy: 0.46 states/eV per cell
- Uncorrected energy: -2.906 eV/atom

---

Record 2
## HoMg3Cd4 (PBE)

Data for an optimized crystal structure of HoMg3Cd4.

```
8
Lattice="4.865 0.000 0.000 0.000 4.865 0.000 0.000 0.000 7.605" Properties=species:S:1:pos:R:3 pbc="T T T"
Ho 0.000 0.000 0.000
Mg 0.000 0.000 3.802
Mg 2.432 2.432 0.000
Mg 2.432 2.432 3.802
Cd 0.000 2.432 1.975
Cd 0.000 2.432 5.629
Cd 2.432 0.000 1.975
Cd 2.432 0.000 5.629
```

- Magnetic moment: 0.0 Bohr magnetons per cell
- Formation energy: -4.35 kcal/mol of atoms
- DOS at the Fermi energy: 4.30 states/eV per cell
- Uncorrected energy: -1.817 eV/atom

---

Record 3
## MoP2Br (PBE)

Data for an optimized crystal structure of MoP2Br.

```
4
Lattice="0.000 3.161 3.161 3.161 0.000 3.161 3.161 3.161 0.000" Properties=species:S:1:pos:R:3 pbc="T T T"
Mo 0.000 0.000 0.000
P 1.581 1.581 1.581
P 3.161 3.161 3.161
Br 4.742 4.742 4.742
```

- Magnetic moment: 0.0 Bohr magnetons per cell
- Excess energy over the best structure of this formula in the dataset: 818 meV/atom
- Raw formation energy: 703 meV/atom
- DOS at the Fermi energy: 2.93 states/eV per cell
- Uncorrected energy: -5.128 eV/atom